RePdPt: optimized geometry, PBE-GGA.

Unit cell a=4.767 b=4.768 c=4.842 alpha=99.67 beta=99.36 gamma=119.09
Space group P-1 (No. 2)
Asymmetric unit:
1 Re 0.217 0.225 0.226 [2 per cell]
2 Pd 0.428 0.096 0.747 [2 per cell]
3 Pt 0.099 0.420 0.743 [2 per cell]

Computed properties:
The value obtained for the electronic total energy is -7.93 eV per atom. For the formation energy from the elements, the calculation gives -0.034 eV/atom. As for the density of states at the Fermi level: 0.597 states/eV/atom. The calculation puts the relative energy among the computed polymorphs at 75 meV/atom.